[1]
{"formula": "ReTc2Mo", "functional": "PBE", "state": "relaxed", "delta_e_f_ev_per_atom": 0.1915, "magnetic_moment_mub_per_cell": 0.01, "lattice_angstrom": [[-1.511, 1.038, 4.000], [-4.295, 0.735, 0.607], [-2.431, -2.894, 2.253]], "species": ["Tc", "Tc", "Mo", "Re"], "fractional_positions": [[0.000, 0.000, 0.000], [0.250, 0.250, 0.250], [0.500, 0.500, 0.500], [0.750, 0.750, 0.750]]}

[2]
{"formula": "ThReMo", "functional": "PBE", "state": "relaxed", "delta_e_f_ev_per_atom": 1.4133, "magnetic_moment_mub_per_cell": 0.00, "lattice_angstrom": [[0.000, 3.199, 3.199], [3.199, 0.000, 3.199], [3.199, 3.199, 0.000]], "species": ["Th", "Re", "Mo"], "fractional_positions": [[0.750, 0.750, 0.750], [0.500, 0.500, 0.500], [0.000, 0.000, 0.000]]}

[3]
{"formula": "ThReMo", "functional": "PBE", "state": "relaxed", "delta_e_f_ev_per_atom": 0.5744, "magnetic_moment_mub_per_cell": 0.04, "lattice_angstrom": [[0.000, 3.251, 3.251], [3.251, 0.000, 3.251], [3.251, 3.251, 0.000]], "species": ["Mo", "Re", "Th"], "fractional_positions": [[0.000, 0.000, 0.000], [0.250, 0.250, 0.250], [0.500, 0.500, 0.500]]}

[4]
{"formula": "Tm2ReMo4", "functional": "PBE", "state": "relaxed", "delta_e_f_ev_per_atom": 0.5190, "magnetic_moment_mub_per_cell": 0.00, "lattice_angstrom": [[-0.823, -0.676, 5.178], [-4.630, -2.330, -1.040], [2.261, -4.398, -0.215]], "species": ["Tm", "Tm", "Mo", "Mo", "Mo", "Mo", "Re"], "fractional_positions": [[0.500, 0.000, 0.000], [0.000, 0.500, 0.000], [0.751, 0.249, 0.501], [0.751, 0.751, 0.499], [0.249, 0.751, 0.501], [0.249, 0.249, 0.499], [0.000, 0.000, 0.000]]}

[5]
{"formula": "TmReMo", "functional": "PBE", "state": "relaxed", "delta_e_f_ev_per_atom": 1.7804, "magnetic_moment_mub_per_cell": 0.66, "lattice_angstrom": [[-2.983, 2.457, 2.265], [-3.126, 2.325, -2.210], [-4.288, -1.284, 0.175]], "species": ["Tm", "Re", "Mo"], "fractional_positions": [[0.000, 0.000, 0.000], [0.750, 0.750, 0.750], [0.250, 0.250, 0.250]]}

[6]
{"formula": "ReMo2W2", "functional": "PBE", "state": "relaxed", "delta_e_f_ev_per_atom": 1.3227, "magnetic_moment_mub_per_cell": 0.37, "lattice_angstrom": [[-2.722, -5.568, 0.068], [-5.091, -1.441, 3.229], [2.281, 4.272, -3.868]], "species": ["Mo", "Mo", "Re", "W", "W"], "fractional_positions": [[0.608, 0.608, 0.000], [0.392, 0.392, 0.000], [0.000, 0.000, 0.000], [0.250, 0.750, 0.500], [0.750, 0.250, 0.500]]}

[7]
{"formula": "Re2MoW2", "functional": "PBE", "state": "relaxed", "delta_e_f_ev_per_atom": 0.8974, "magnetic_moment_mub_per_cell": 0.20, "lattice_angstrom": [[-2.055, 2.055, 5.405], [2.055, -2.055, 5.405], [2.055, 2.055, -5.405]], "species": ["Mo", "W", "W", "Re", "Re"], "fractional_positions": [[0.000, 0.000, 0.000], [0.250, 0.750, 0.500], [0.750, 0.250, 0.500], [0.612, 0.612, 0.000], [0.388, 0.388, 0.000]]}

[8]
{"formula": "Zn2ReMo", "functional": "PBE", "state": "relaxed", "delta_e_f_ev_per_atom": 0.1996, "magnetic_moment_mub_per_cell": 0.00, "lattice_angstrom": [[-3.510, -2.584, -0.237], [-3.333, 1.079, -2.605], [-0.772, -2.306, -3.625]], "species": ["Mo", "Zn", "Zn", "Re"], "fractional_positions": [[0.500, 0.500, 0.500], [0.000, 0.000, 0.000], [0.250, 0.250, 0.250], [0.750, 0.750, 0.750]]}

[9]
{"formula": "ZrRe2Mo4", "functional": "PBE", "state": "relaxed", "delta_e_f_ev_per_atom": 0.4146, "magnetic_moment_mub_per_cell": 0.04, "lattice_angstrom": [[-3.862, -0.636, -4.906], [-2.821, -4.830, 2.847], [-2.000, 1.947, 1.321]], "species": ["Re", "Re", "Zr", "Mo", "Mo", "Mo", "Mo"], "fractional_positions": [[0.500, 0.000, 0.000], [0.000, 0.500, 0.000], [0.000, 0.000, 0.000], [0.731, 0.269, 0.499], [0.269, 0.269, 0.501], [0.269, 0.731, 0.499], [0.731, 0.731, 0.501]]}

[10]
{"formula": "Mo15S19", "functional": "PBE", "state": "relaxed", "final_energy_ev_per_atom": -7.738, "magnetic_moment_mub_per_cell": 0.00, "lattice_angstrom": [[-4.141, -8.049, -1.875], [8.138, 0.100, 4.383], [-9.089, 0.749, 16.858]], "species": ["Mo", "Mo", "Mo", "Mo", "Mo", "Mo", "Mo", "Mo", "Mo", "Mo", "Mo", "Mo", "Mo", "Mo", "Mo", "Mo", "Mo", "Mo", "Mo", "Mo", "Mo", "Mo", "Mo", "Mo", "Mo", "Mo", "Mo", "Mo", "Mo", "Mo", "S", "S", "S", "S", "S", "S", "S", "S", "S", "S", "S", "S", "S", "S", "S", "S", "S", "S", "S", "S", "S", "S", "S", "S", "S", "S", "S", "S", "S", "S", "S", "S", "S", "S", "S", "S", "S", "S"], "fractional_positions": [[0.017, 0.840, 0.563], [0.316, 0.828, 0.630], [0.177, 0.017, 0.063], [0.684, 0.172, 0.130], [0.823, 0.983, 0.563], [0.316, 0.828, 0.870], [0.347, 0.505, 0.750], [0.160, 0.177, 0.563], [0.172, 0.488, 0.870], [0.158, 0.653, 0.750], [0.823, 0.983, 0.937], [0.828, 0.512, 0.130], [0.512, 0.684, 0.870], [0.017, 0.840, 0.937], [0.840, 0.823, 0.437], [0.488, 0.316, 0.370], [0.983, 0.160, 0.063], [0.512, 0.684, 0.630], [0.842, 0.347, 0.250], [0.495, 0.842, 0.750], [0.160, 0.177, 0.937], [0.172, 0.488, 0.630], [0.488, 0.316, 0.130], [0.653, 0.495, 0.250], [0.684, 0.172, 0.370], [0.840, 0.823, 0.063], [0.828, 0.512, 0.370], [0.983, 0.160, 0.437], [0.177, 0.017, 0.437], [0.505, 0.158, 0.250], [0.970, 0.287, 0.953], [0.381, 0.014, 0.143], [0.347, 0.306, 0.250], [0.030, 0.713, 0.453], [0.317, 0.030, 0.547], [0.041, 0.347, 0.750], [0.713, 0.683, 0.547], [0.014, 0.633, 0.643], [0.333, 0.667, 0.966], [0.959, 0.653, 0.250], [0.367, 0.381, 0.643], [0.986, 0.367, 0.143], [0.683, 0.970, 0.047], [0.287, 0.317, 0.453], [0.000, 0.000, 0.341], [0.653, 0.694, 0.750], [0.970, 0.287, 0.547], [0.986, 0.367, 0.357], [0.619, 0.986, 0.643], [0.713, 0.683, 0.953], [0.667, 0.333, 0.034], [0.287, 0.317, 0.047], [0.367, 0.381, 0.857], [0.317, 0.030, 0.953], [0.619, 0.986, 0.857], [0.306, 0.959, 0.750], [0.000, 0.000, 0.841], [0.000, 0.000, 0.159], [0.683, 0.970, 0.453], [0.000, 0.000, 0.659], [0.030, 0.713, 0.047], [0.633, 0.619, 0.357], [0.381, 0.014, 0.357], [0.333, 0.667, 0.534], [0.694, 0.041, 0.250], [0.667, 0.333, 0.466], [0.633, 0.619, 0.143], [0.014, 0.633, 0.857]]}

[11]
{"formula": "Mo3S4", "functional": "PBE", "state": "relaxed", "final_energy_ev_per_atom": -7.642, "magnetic_moment_mub_per_cell": 0.02, "lattice_angstrom": [[-5.211, -3.400, 1.320], [4.847, -4.525, -0.205], [2.112, 4.507, 4.712]], "species": ["S", "S", "S", "S", "S", "S", "S", "S", "Mo", "Mo", "Mo", "Mo", "Mo", "Mo"], "fractional_positions": [[0.947, 0.733, 0.528], [0.053, 0.267, 0.472], [0.015, 0.205, 0.935], [0.469, 0.787, 0.053], [0.531, 0.213, 0.947], [0.556, 0.288, 0.469], [0.444, 0.712, 0.531], [0.985, 0.795, 0.065], [0.452, 0.483, 0.180], [0.548, 0.517, 0.820], [0.286, 0.002, 0.503], [0.976, 0.486, 0.191], [0.024, 0.514, 0.809], [0.714, 0.998, 0.497]]}

[12]
{"formula": "Mo5S4", "functional": "PBE", "state": "relaxed", "final_energy_ev_per_atom": -8.194, "magnetic_moment_mub_per_cell": 0.01, "lattice_angstrom": [[-4.663, 4.663, 1.636], [4.663, -4.663, 1.636], [4.663, 4.663, -1.636]], "species": ["S", "S", "S", "S", "Mo", "Mo", "Mo", "Mo", "Mo"], "fractional_positions": [[0.943, 0.277, 0.220], [0.277, 0.057, 0.333], [0.057, 0.723, 0.780], [0.723, 0.943, 0.667], [0.709, 0.379, 0.088], [0.000, 0.000, 0.000], [0.621, 0.709, 0.329], [0.291, 0.621, 0.912], [0.379, 0.291, 0.671]]}

> What is the formula in the second record?

ThReMo